No. 1
# TcSbPtI2 GGA-PBE relaxed
data_TcSbPtI2
_chemical_formula_sum 'Tc1 Sb1 Pt1 I2'
_cell_length_a 5.508
_cell_length_b 5.508
_cell_length_c 5.249
_cell_angle_alpha 90.00
_cell_angle_beta 90.00
_cell_angle_gamma 90.00
_space_group_name_H-M_alt 'P 4/m m m'
_space_group_IT_number 123
_space_group_name_Hall '-P 4 2'
loop_
_atom_site_label
_atom_site_type_symbol
_atom_site_fract_x
_atom_site_fract_y
_atom_site_fract_z
_atom_site_occupancy
Tc1 Tc 0.000 0.000 0.000 1
Sb1 Sb 0.500 0.500 0.000 1
Pt1 Pt 0.500 0.500 0.500 1
I1 I 0.000 0.500 0.500 1
# E_form (uncorrected) ... 1030.0 meV/atom
# DOS at the Fermi energy ... 3.692 states/eV/cell
# Total moment ... 0.834 μB/atom
# Final energy ... -3.696 eV per atom


No. 2
# TcSbPtI2 GGA-PBE relaxed
data_TcSbPtI2
_chemical_formula_sum 'Tc1 Sb1 Pt1 I2'
_cell_length_a 5.306
_cell_length_b 5.306
_cell_length_c 5.131
_cell_angle_alpha 90.00
_cell_angle_beta 90.00
_cell_angle_gamma 90.00
_space_group_name_H-M_alt 'P 4/m m m'
_space_group_IT_number 123
_space_group_name_Hall '-P 4 2'
loop_
_atom_site_label
_atom_site_type_symbol
_atom_site_fract_x
_atom_site_fract_y
_atom_site_fract_z
_atom_site_occupancy
Tc1 Tc 0.000 0.000 0.000 1
Sb1 Sb 0.000 0.000 0.500 1
Pt1 Pt 0.500 0.500 0.500 1
I1 I 0.000 0.500 0.000 1
# E_form (uncorrected) ... 1050.8 meV/atom
# DOS at the Fermi energy ... 6.427 states/eV/cell
# Total moment ... 0.158 μB/atom
# Final energy ... -3.675 eV per atom